No. 1
{"formula": "YZr3", "functional": "GGA-PBEsol", "state": "optimized geometry", "relative_energy_ev_per_atom": 0.060, "dos_at_fermi_per_ev_cell": 6.021, "delta_e_f_kj_per_mol_atoms": 12, "lattice": [[-1.698, -0.185, -4.236], [-2.479, -3.659, 1.153], [-1.325, 4.628, 2.792]], "species": ["Zr", "Zr", "Zr", "Y"], "frac_coords": [[0.500, 0.500, 0.000], [0.250, 0.750, 0.500], [0.750, 0.250, 0.500], [0.000, 0.000, 0.000]]}



No. 2
{"formula": "BaCaTl2Te", "functional": "GGA-PBEsol", "state": "optimized geometry", "dos_at_fermi_per_ev_cell": 4.682, "raw_formation_energy_ev_per_fu": -1.62, "lattice": [[5.732, 0.000, 0.000], [0.000, 5.771, 0.000], [0.000, 0.000, 5.771]], "species": ["Ca", "Ba", "Tl", "Tl", "Te"], "frac_coords": [[0.000, 0.000, 0.000], [0.500, 0.500, 0.500], [0.000, 0.500, 0.000], [0.000, 0.000, 0.500], [0.500, 0.000, 0.000]]}



No. 3
{"formula": "TaBe2Tc", "functional": "GGA-PBEsol", "state": "optimized geometry", "relative_energy_ev_per_atom": 0.312, "dos_at_fermi_per_ev_cell": 2.350, "delta_e_f_kj_per_mol_atoms": -4, "lattice": [[3.813, 0.000, 0.000], [-1.906, 3.812, -0.010], [0.000, 1.915, 3.297]], "species": ["Be", "Be", "Ta", "Tc"], "frac_coords": [[0.750, 0.500, 0.750], [0.250, 0.500, 0.250], [0.500, 0.000, 0.500], [0.000, 0.000, 0.000]]}



No. 4
{"formula": "Sc2TlTe", "functional": "GGA-PBEsol", "state": "optimized geometry", "relative_energy_ev_per_atom": 0.210, "dos_at_fermi_per_ev_cell": 3.987, "raw_formation_energy_ev_per_fu": -2.01, "lattice": [[5.049, 0.000, 0.000], [2.524, 4.372, 0.000], [2.524, 1.457, 4.122]], "species": ["Tl", "Te", "Sc", "Sc"], "frac_coords": [[0.500, 0.500, 0.500], [0.000, 0.000, 0.000], [0.750, 0.750, 0.750], [0.250, 0.250, 0.250]]}



No. 5
{"formula": "Ga2FeSe4", "functional": "GGA-PBEsol", "state": "optimized geometry", "dos_at_fermi_per_ev_cell": 2.449, "raw_formation_energy_ev_per_fu": -2.77, "lattice": [[-5.175, 0.618, -1.424], [0.959, -2.624, -4.624], [-1.259, -4.829, 2.479]], "species": ["Se", "Se", "Se", "Se", "Ga", "Ga", "Fe"], "frac_coords": [[0.263, 0.263, 0.230], [0.737, 0.263, 0.770], [0.737, 0.737, 0.230], [0.263, 0.737, 0.770], [0.000, 0.500, 0.500], [0.500, 0.000, 0.500], [0.000, 0.000, 0.000]]}



No. 6
{"formula": "K2RuBr", "functional": "GGA-PBEsol", "state": "optimized geometry", "relative_energy_ev_per_atom": 0.224, "dos_at_fermi_per_ev_cell": 10.855, "raw_formation_energy_ev_per_fu": 2.50, "lattice": [[5.616, 0.000, 0.000], [-2.808, 4.879, -0.094], [0.000, -3.142, 4.655]], "species": ["K", "K", "Br", "Ru"], "frac_coords": [[0.250, 0.501, 0.250], [0.750, 0.499, 0.750], [0.500, 0.000, 0.000], [0.000, 0.000, 0.500]]}



No. 7
{"formula": "IrRh2Br", "functional": "GGA-PBEsol", "state": "optimized geometry", "relative_energy_ev_per_atom": 0.065, "dos_at_fermi_per_ev_cell": 6.302, "raw_formation_energy_ev_per_fu": 2.63, "lattice": [[-1.124, 2.448, -0.607], [-2.430, -1.971, -3.448], [-3.490, -0.870, 2.956]], "species": ["Rh", "Rh", "Ir", "Br"], "frac_coords": [[0.000, 0.500, 0.000], [0.000, 0.000, 0.500], [0.500, 0.000, 0.000], [0.500, 0.500, 0.500]]}



No. 8
{"formula": "ReOs3", "functional": "GGA-PBEsol", "state": "optimized geometry", "relative_energy_ev_per_atom": 0.093, "dos_at_fermi_per_ev_cell": 13.143, "delta_e_f_kj_per_mol_atoms": 2, "lattice": [[5.451, 0.000, 0.000], [-2.726, 4.721, 0.000], [0.000, 0.000, 8.759]], "species": ["Os", "Os", "Os", "Os", "Os", "Os", "Os", "Os", "Os", "Os", "Os", "Os", "Re", "Re", "Re", "Re"], "frac_coords": [[0.000, 0.500, 0.500], [0.667, 0.834, 0.750], [0.834, 0.166, 0.250], [0.834, 0.667, 0.250], [0.166, 0.333, 0.750], [0.166, 0.834, 0.750], [0.500, 0.500, 0.000], [0.500, 0.000, 0.000], [0.500, 0.000, 0.500], [0.333, 0.166, 0.250], [0.500, 0.500, 0.500], [0.000, 0.500, 0.000], [0.000, 0.000, 0.000], [0.333, 0.667, 0.250], [0.667, 0.333, 0.750], [0.000, 0.000, 0.500]]}



No. 9
{"formula": "Y7Pt3", "functional": "GGA-PBEsol", "state": "optimized geometry", "dos_at_fermi_per_ev_cell": 30.194, "delta_e_f_kj_per_mol_atoms": -77, "lattice": [[-1.021, -6.098, -0.386], [4.025, -0.111, -8.882], [5.553, -1.430, 7.888]], "species": ["Y", "Y", "Y", "Y", "Y", "Y", "Y", "Y", "Y", "Y", "Y", "Y", "Y", "Y", "Pt", "Pt", "Pt", "Pt", "Pt", "Pt"], "frac_coords": [[0.682, 0.253, 0.126], [0.483, 0.667, 0.333], [0.486, 0.461, 0.922], [0.182, 0.747, 0.874], [0.983, 0.333, 0.667], [0.682, 0.874, 0.126], [0.682, 0.874, 0.747], [0.182, 0.126, 0.874], [0.986, 0.922, 0.461], [0.486, 0.078, 0.539], [0.986, 0.539, 0.461], [0.486, 0.461, 0.539], [0.182, 0.126, 0.253], [0.986, 0.539, 0.078], [0.248, 0.810, 0.620], [0.248, 0.380, 0.190], [0.748, 0.190, 0.380], [0.748, 0.620, 0.810], [0.748, 0.190, 0.810], [0.248, 0.810, 0.190]]}



No. 10
{"formula": "Pt3SF", "functional": "GGA-PBEsol", "state": "optimized geometry", "dos_at_fermi_per_ev_cell": 10.691, "raw_formation_energy_ev_per_fu": 6.14, "lattice": [[4.320, 0.000, 0.000], [0.000, 4.320, 0.000], [0.000, 0.000, 4.320]], "species": ["S", "Pt", "Pt", "Pt", "F"], "frac_coords": [[0.500, 0.500, 0.500], [0.000, 0.500, 0.000], [0.000, 0.000, 0.500], [0.500, 0.000, 0.000], [0.000, 0.000, 0.000]]}



No. 11
{"formula": "ReSeCl2", "functional": "GGA-PBEsol", "state": "optimized geometry", "relative_energy_ev_per_atom": 0.141, "dos_at_fermi_per_ev_cell": 2.430, "raw_formation_energy_ev_per_fu": 0.58, "lattice": [[-1.991, 0.046, 2.252], [3.175, -1.831, 2.844], [1.172, 6.206, -1.097]], "species": ["Se", "Cl", "Cl", "Re"], "frac_coords": [[0.167, 0.667, 0.333], [0.997, 0.997, 0.994], [0.830, 0.330, 0.661], [0.506, 0.506, 0.012]]}



No. 12
{"formula": "SbAsAu", "functional": "GGA-PBEsol", "state": "optimized geometry", "relative_energy_ev_per_atom": 0.000, "dos_at_fermi_per_ev_cell": 1.413, "raw_formation_energy_ev_per_fu": -0.05, "lattice": [[-2.866, 0.709, 2.606], [2.126, -3.304, 0.262], [3.140, 2.247, 2.842]], "species": ["As", "Sb", "Au"], "frac_coords": [[0.000, 0.000, 0.970], [0.667, 0.333, 0.348], [0.333, 0.667, 0.683]]}